Entry 1:
First-principles (PBE) data for a relaxed structure of UTiSi, as listed in the Alexandria database.

Results
For the magnetic moment, the calculation gives 0.731 μB per atom. As for the energy relative to the elements, uncorrected: -6.98 kJ/mol of atoms. Its energy is -49.65 eV for the cell shown. The calculation puts the density of states at the Fermi level at 12.1 states/eV/cell.

Cell: 3.3781 3.3781 9.7498 Å, 90.00 90.00 90.00°
Space group I4mm (No. 107)
Inequivalent atoms, fractional coordinates:
U (0.0000, 0.0000, 0.0000)
Ti (0.0000, 0.0000, 0.2894)
Si (0.0000, 0.0000, 0.6880)

Entry 2:
First-principles (PBE) data for a relaxed structure of UTiSi, as listed in the Alexandria database.

Results
For the magnetic moment, the calculation gives 0.000 μB per atom. As for the energy relative to the elements, uncorrected: -10.58 kJ/mol of atoms. Its energy is -24.93 eV for the cell shown. The calculation puts the density of states at the Fermi level at 5.9 states/eV/cell.

Cell: 4.5890 4.5890 2.9276 Å, 90.00 90.00 120.00°
Space group P-6m2 (No. 187)
Inequivalent atoms, fractional coordinates:
U (0.0000, 0.0000, 0.0000)
Ti (0.6667, 0.3333, 0.5000)
Si (0.3333, 0.6667, 0.5000)

Entry 3:
First-principles (PBE) data for a relaxed structure of U2Ti3Si4, as listed in the Alexandria database.

Results
For the magnetic moment, the calculation gives 0.396 μB per atom. As for the energy relative to the elements, uncorrected: -56.72 kJ/mol of atoms. Its energy is -146.49 eV for the cell shown. The calculation puts the density of states at the Fermi level at 21.1 states/eV/cell.

Cell: 6.8932 6.8752 6.9476 Å, 90.00 110.44 90.00°
Space group P2_1/c (No. 14)
Inequivalent atoms, fractional coordinates:
U (0.1586, 0.1365, 0.0536)
Ti (0.2559, 0.6806, 0.2517)
Ti (0.5000, 0.0000, 0.5000)
Si (0.0879, 0.5374, 0.8820)
Si (0.4796, 0.1329, 0.8626)

Entry 4:
First-principles (PBE) data for a relaxed structure of UTi2Si, as listed in the Alexandria database.

Results
For the magnetic moment, the calculation gives 0.413 μB per atom. As for the energy relative to the elements, uncorrected: -24.40 kJ/mol of atoms. Its energy is -33.51 eV for the cell shown. The calculation puts the density of states at the Fermi level at 6.3 states/eV/cell.

Cell: 4.3017 4.3017 3.6264 Å, 90.00 90.00 90.00°
Space group P4/mmm (No. 123)
Inequivalent atoms, fractional coordinates:
U (0.0000, 0.0000, 0.0000)
Ti (0.0000, 0.5000, 0.5000)
Si (0.5000, 0.5000, 0.0000)

Entry 5:
First-principles (PBE) data for a relaxed structure of Ti3V4Si4, as listed in the Alexandria database.

Results
For the magnetic moment, the calculation gives 0.000 μB per atom. As for the energy relative to the elements, uncorrected: -48.79 kJ/mol of atoms. Its energy is -174.83 eV for the cell shown. The calculation puts the density of states at the Fermi level at 15.7 states/eV/cell.

Cell: 3.3313 7.3608 13.2339 Å, 90.00 90.00 90.00°
Space group Immm (No. 71)
Inequivalent atoms, fractional coordinates:
Ti (0.0000, 0.0000, 0.0000)
Ti (0.0000, 0.5000, 0.1152)
V (0.0000, 0.2966, 0.3247)
Si (0.0000, 0.0000, 0.2355)
Si (0.0000, 0.1916, 0.5000)

Entry 6:
First-principles (PBE) data for a relaxed structure of TiV2Si, as listed in the Alexandria database.

Results
For the magnetic moment, the calculation gives 0.000 μB per atom. As for the energy relative to the elements, uncorrected: -31.46 kJ/mol of atoms. Its energy is -32.86 eV for the cell shown. The calculation puts the density of states at the Fermi level at 2.7 states/eV/cell.

Cell: 3.2023 3.2023 5.5037 Å, 90.00 90.00 90.00°
Space group P4/mmm (No. 123)
Inequivalent atoms, fractional coordinates:
Ti (0.0000, 0.0000, 0.0000)
V (0.5000, 0.5000, 0.2866)
Si (0.0000, 0.0000, 0.5000)

Entry 7:
First-principles (PBE) data for a relaxed structure of TiV2Si, as listed in the Alexandria database.

Results
For the magnetic moment, the calculation gives 0.000 μB per atom. As for the energy relative to the elements, uncorrected: -25.62 kJ/mol of atoms. Its energy is -130.47 eV for the cell shown. The calculation puts the density of states at the Fermi level at 15.5 states/eV/cell.

Cell: 4.3803 9.4842 5.4911 Å, 90.00 90.00 90.00°
Space group Cmcm (No. 63)
Inequivalent atoms, fractional coordinates:
Ti (0.0000, 0.1053, 0.2500)
V (0.0000, 0.3755, 0.0330)
Si (0.0000, 0.1702, 0.7500)

Entry 8:
First-principles (PBE) data for a relaxed structure of Ti6V2Si, as listed in the Alexandria database.

Results
For the magnetic moment, the calculation gives 0.000 μB per atom. As for the energy relative to the elements, uncorrected: 1.00 kJ/mol of atoms. Its energy is -283.74 eV for the cell shown. The calculation puts the density of states at the Fermi level at 49.9 states/eV/cell.

Cell: 7.9738 8.3376 8.8918 Å, 90.00 90.00 90.00°
Space group Immm (No. 71)
Inequivalent atoms, fractional coordinates:
Ti (0.0000, 0.2155, 0.1603)
Ti (0.1873, 0.2174, 0.5000)
Ti (0.1939, 0.5000, 0.2487)
V (0.0000, 0.0000, 0.3604)
V (0.1727, 0.0000, 0.0000)
Si (0.0000, 0.5000, 0.0000)
Si (0.0000, 0.5000, 0.5000)

Entry 9:
First-principles (PBE) data for a relaxed structure of TiVSi2, as listed in the Alexandria database.

Results
For the magnetic moment, the calculation gives 0.000 μB per atom. Its energy above the most stable polymorph in this dataset is 0 meV/atom. As for the energy relative to the elements, uncorrected: -39.95 kJ/mol of atoms. Its energy is -29.52 eV for the cell shown. The calculation puts the density of states at the Fermi level at 2.6 states/eV/cell.

Cell: 2.7575 3.7054 5.5363 Å, 89.87 78.28 89.81°
Space group P-1 (No. 2)
Inequivalent atoms, fractional coordinates:
Ti (0.0000, 0.0000, 0.0000)
V (0.0000, 0.0000, 0.5000)
Si (0.5004, 0.5002, 0.2633)

Entry 10:
First-principles (PBE) data for a relaxed structure of Ti5V2Si5, as listed in the Alexandria database.

Results
For the magnetic moment, the calculation gives 0.000 μB per atom. As for the energy relative to the elements, uncorrected: -42.80 kJ/mol of atoms. Its energy is -180.30 eV for the cell shown. The calculation puts the density of states at the Fermi level at 21.8 states/eV/cell.

Cell: 11.6151 3.6984 9.3136 Å, 90.00 117.92 90.00°
Space group C2/m (No. 12)
Inequivalent atoms, fractional coordinates:
Ti (0.0000, 0.0000, 0.0000)
Ti (0.1134, 0.0000, 0.7652)
Ti (0.1491, 0.0000, 0.4827)
V (0.0889, 0.5000, 0.2376)
Si (0.0000, 0.5000, 0.5000)
Si (0.1548, 0.5000, 0.9849)
Si (0.2494, 0.0000, 0.2839)

Entry 11:
First-principles (PBE) data for a relaxed structure of Ti5VSi3, as listed in the Alexandria database.

Results
For the magnetic moment, the calculation gives 0.000 μB per atom. As for the energy relative to the elements, uncorrected: -7.40 kJ/mol of atoms. Its energy is -262.21 eV for the cell shown. The calculation puts the density of states at the Fermi level at 31.7 states/eV/cell.

Cell: 8.9277 7.6181 9.2687 Å, 90.00 99.16 90.00°
Space group C2/m (No. 12)
Inequivalent atoms, fractional coordinates:
Ti (0.0000, 0.1740, 0.0000)
Ti (0.0387, 0.0000, 0.3133)
Ti (0.1868, 0.2989, 0.6470)
Ti (0.2252, 0.0000, 0.8425)
V (0.0339, 0.5000, 0.2578)
Si (0.0000, 0.5000, 0.0000)
Si (0.0000, 0.5000, 0.5000)
Si (0.2233, 0.0000, 0.5570)
Si (0.2496, 0.0000, 0.1253)

Entry 12:
First-principles (PBE) data for a relaxed structure of Ti2V4Si, as listed in the Alexandria database.

Results
For the magnetic moment, the calculation gives 0.894 μB per atom. As for the energy relative to the elements, uncorrected: 72.40 kJ/mol of atoms. Its energy is -104.87 eV for the cell shown. The calculation puts the density of states at the Fermi level at 19.9 states/eV/cell.

Cell: 4.3745 4.3745 13.2046 Å, 90.00 90.00 90.00°
Space group I4/mmm (No. 139)
Inequivalent atoms, fractional coordinates:
Ti (0.0000, 0.0000, 0.1126)
V (0.0000, 0.0000, 0.3192)
V (0.0000, 0.5000, 0.0000)
Si (0.0000, 0.0000, 0.5000)

Entry 13:
First-principles (PBE) data for a relaxed structure of TiV2Si, as listed in the Alexandria database.

Results
For the magnetic moment, the calculation gives 0.000 μB per atom. As for the energy relative to the elements, uncorrected: -35.39 kJ/mol of atoms. Its energy is -33.02 eV for the cell shown. The calculation puts the density of states at the Fermi level at 3.2 states/eV/cell.

Cell: 3.6428 3.6428 4.1879 Å, 90.00 90.00 90.00°
Space group P4/mmm (No. 123)
Inequivalent atoms, fractional coordinates:
Ti (0.0000, 0.0000, 0.0000)
V (0.0000, 0.5000, 0.5000)
Si (0.5000, 0.5000, 0.0000)

Entry 14:
First-principles (PBE) data for a relaxed structure of TiV2Si, as listed in the Alexandria database.

Results
For the magnetic moment, the calculation gives 0.000 μB per atom. As for the energy relative to the elements, uncorrected: 21.55 kJ/mol of atoms. Its energy is -122.65 eV for the cell shown. The calculation puts the density of states at the Fermi level at 15.9 states/eV/cell.

Cell: 6.9434 6.9434 5.0359 Å, 90.00 90.00 90.00°
Space group I-42d (No. 122)
Inequivalent atoms, fractional coordinates:
Ti (0.0000, 0.0000, 0.0000)
V (0.2215, 0.2500, 0.6250)
Si (0.0000, 0.0000, 0.5000)

Entry 15:
First-principles (PBE) data for a relaxed structure of TiVSi4, as listed in the Alexandria database.

Results
For the magnetic moment, the calculation gives 0.000 μB per atom. As for the energy relative to the elements, uncorrected: -37.15 kJ/mol of atoms. Its energy is -82.03 eV for the cell shown. The calculation puts the density of states at the Fermi level at 6.1 states/eV/cell.

Cell: 8.6095 3.1434 6.4852 Å, 90.00 111.81 90.00°
Space group C2/m (No. 12)
Inequivalent atoms, fractional coordinates:
Ti (0.0000, 0.0000, 0.0000)
V (0.0000, 0.0000, 0.5000)
Si (0.1636, 0.5000, 0.8196)
Si (0.1669, 0.5000, 0.3404)

Entry 16:
First-principles (PBE) data for a relaxed structure of Ti2VSi, as listed in the Alexandria database.

Results
For the magnetic moment, the calculation gives 0.000 μB per atom. As for the energy relative to the elements, uncorrected: 17.36 kJ/mol of atoms. Its energy is -118.45 eV for the cell shown. The calculation puts the density of states at the Fermi level at 18.0 states/eV/cell.

Cell: 7.1203 7.1203 5.0231 Å, 90.00 90.00 90.00°
Space group I-42d (No. 122)
Inequivalent atoms, fractional coordinates:
Ti (0.2360, 0.7500, 0.1250)
V (0.0000, 0.0000, 0.5000)
Si (0.0000, 0.0000, 0.0000)

Entry 17:
First-principles (PBE) data for a relaxed structure of Ti2VSi, as listed in the Alexandria database.

Results
For the magnetic moment, the calculation gives 0.087 μB per atom. As for the energy relative to the elements, uncorrected: -39.38 kJ/mol of atoms. Its energy is -31.96 eV for the cell shown. The calculation puts the density of states at the Fermi level at 5.7 states/eV/cell.

Cell: 4.1362 4.1362 3.4357 Å, 90.00 90.00 90.00°
Space group P4/mmm (No. 123)
Inequivalent atoms, fractional coordinates:
Ti (0.0000, 0.5000, 0.0000)
V (0.0000, 0.0000, 0.5000)
Si (0.5000, 0.5000, 0.5000)

Entry 18:
First-principles (PBE) data for a relaxed structure of TiVSi2, as listed in the Alexandria database.

Results
For the magnetic moment, the calculation gives 0.000 μB per atom. Its energy above the most stable polymorph in this dataset is 185 meV/atom. As for the energy relative to the elements, uncorrected: -22.06 kJ/mol of atoms. Its energy is -86.32 eV for the cell shown. The calculation puts the density of states at the Fermi level at 8.7 states/eV/cell.

Cell: 3.4826 3.4826 17.6753 Å, 90.00 90.00 120.00°
Space group R-3m (No. 166, hexagonal axes)
Inequivalent atoms, fractional coordinates:
Ti (0.0000, 0.0000, 0.0000)
V (0.0000, 0.0000, 0.5000)
Si (0.0000, 0.0000, 0.2461)

Entry 19:
First-principles (PBE) data for a relaxed structure of TiVSi2, as listed in the Alexandria database.

Results
For the magnetic moment, the calculation gives 0.000 μB per atom. Its energy above the most stable polymorph in this dataset is 307 meV/atom. As for the energy relative to the elements, uncorrected: -10.31 kJ/mol of atoms. Its energy is -113.15 eV for the cell shown. The calculation puts the density of states at the Fermi level at 12.2 states/eV/cell.

Cell: 6.6892 6.6892 5.3866 Å, 90.00 90.00 90.00°
Space group I-42d (No. 122)
Inequivalent atoms, fractional coordinates:
Ti (0.0000, 0.0000, 0.0000)
V (0.0000, 0.0000, 0.5000)
Si (0.2392, 0.2500, 0.6250)

Entry 20:
First-principles (PBE) data for a relaxed structure of TiVSi2, as listed in the Alexandria database.

Results
For the magnetic moment, the calculation gives 0.000 μB per atom. Its energy above the most stable polymorph in this dataset is 44 meV/atom. As for the energy relative to the elements, uncorrected: -35.68 kJ/mol of atoms. Its energy is -29.34 eV for the cell shown. The calculation puts the density of states at the Fermi level at 2.9 states/eV/cell.

Cell: 2.6942 2.6942 7.5049 Å, 90.00 90.00 90.00°
Space group P4/mmm (No. 123)
Inequivalent atoms, fractional coordinates:
Ti (0.0000, 0.0000, 0.0000)
V (0.0000, 0.0000, 0.5000)
Si (0.5000, 0.5000, 0.2590)

V: 111.3 53.4 308.5 67.1 324.5 56.4 228.1 591.1 55.4 353.5 622.3 252.7 55.6 242.8 162.9 254.7 58.8 185.7 241.0 54.5 (Å³/cell)